Below is an optimized crystal structure of LiScAu, with properties calculated at the PBE level.

Its polymorph energy (0 for the lowest one) is 0 meV per atom.

abc: 4.8423 4.8423 5.6269
angles: 90.00 90.00 120.00
Positions (direct):
Au 0.6666 0.8334 0.7500
Sc 0.3332 0.1668 0.7500
Li 0.0000 0.5000 0.5000
Li 0.0000 0.5000 0.0000
Sc 0.6668 0.8332 0.2500
Au 0.3334 0.1666 0.2500


Below is an optimized crystal structure of Pm4PrDy3, with properties calculated at the PBE level.

Its polymorph energy (0 for the lowest one) is 183 meV per atom.

abc: 5.7696 3.6153 13.4275
angles: 89.93 102.41 90.00
Positions (direct):
Pr 0.5000 0.0000 0.0000
Pm 0.6055 0.4990 0.2109
Dy 0.1522 0.0004 0.3044
Pm 0.2754 0.4984 0.5509
Pm 0.7246 0.5016 0.4491
Dy 0.8478 0.9996 0.6956
Pm 0.3945 0.5010 0.7891
Dy 0.0000 0.5000 0.0000


no.,final energy (eV per atom),formation energy (eV/atom)
1,-4.3711,-0.53
2,-4.4881,0.21